No. 1
Below is a crystal of BaMgTe2I relaxed with PBEsol, with properties calculated at the meta-GGA SCAN level.

Output
Formation energy without anion corrections (eV/atom): -1.103

Cell and atoms, written as POSCAR:
```
BaMgTe2I
1.0
-1.667 -4.892 1.741
2.314 -2.337 -4.351
4.994 -0.635 2.997
I Mg Te Ba
1 1 2 1
Direct
0.000 0.000 0.500
0.000 0.000 0.000
0.000 0.500 0.000
0.500 0.000 0.000
0.500 0.500 0.500
```


No. 2
Below is a crystal of Cr2AsRu relaxed with PBEsol, with properties calculated at the meta-GGA SCAN level.

Output
ΔH_f (0 K) (meV per atom): 62

Cell and atoms, written as POSCAR:
```
Cr2AsRu
1.0
2.788 0.000 0.000
0.000 3.769 0.000
0.000 0.000 4.830
As Cr Ru
1 2 1
Direct
0.500 0.500 0.756
0.000 0.000 0.000
0.500 0.500 0.250
0.000 0.000 0.494
```


No. 3
Below is a crystal of BeFe2Co relaxed with PBEsol, with properties calculated at the meta-GGA SCAN level.

Output
ΔH_f (0 K) (meV per atom): -76

Cell and atoms, written as POSCAR:
```
BeFe2Co
1.0
2.749 0.000 0.000
0.000 3.762 0.000
0.000 0.000 3.799
Be Co Fe
1 1 2
Direct
0.500 0.000 0.500
0.000 0.500 0.500
0.000 0.000 0.000
0.500 0.500 0.000
```


No. 4
Below is a crystal of P4Pb3 relaxed with PBEsol, with properties calculated at the meta-GGA SCAN level.

Output
ΔH_f (0 K) (meV per atom): 301

Cell and atoms, written as POSCAR:
```
P4Pb3
1.0
-3.104 0.960 0.247
-0.603 -2.472 2.036
5.230 8.877 9.720
P Pb
4 3
Direct
0.889 0.889 0.779
0.111 0.111 0.221
0.585 0.585 0.171
0.415 0.415 0.829
0.000 0.000 0.000
0.702 0.702 0.404
0.298 0.298 0.596
```